This record from Alexandria describes Ac3DyBi4 after structural relaxation. The functional is GGA-PBE.

Summary:
total magnetic moment: 0.000 μB/atom
formation enthalpy at 0 K: -90.9 kJ per mole of atoms
crystal system: monoclinic

Lattice parameters (Å, degrees): 8.284 9.583 8.288 90.00 109.52 90.00
Positions (direct):
Ac 0.000 0.124 0.250
Ac 0.000 0.372 0.750
Ac 0.000 0.628 0.250
Ac 0.000 0.876 0.750
Ac 0.500 0.373 0.250
Ac 0.500 0.627 0.750
Dy 0.500 0.123 0.750
Dy 0.500 0.877 0.250
Bi 0.257 0.367 0.508
Bi 0.257 0.633 0.008
Bi 0.266 0.116 0.999
Bi 0.266 0.884 0.499
Bi 0.734 0.116 0.501
Bi 0.734 0.884 0.001
Bi 0.743 0.367 0.992
Bi 0.743 0.633 0.492


This record from Alexandria describes Ac2DyBi after structural relaxation. The functional is GGA-PBE.

Summary:
total magnetic moment: 0.000 μB/atom
formation enthalpy at 0 K: -31.7 kJ per mole of atoms
crystal system: tetragonal
offset from the most stable computed form: 2 meV per atom

Lattice parameters (Å, degrees): 4.417 4.417 7.701 90.00 90.00 90.00
Positions (direct):
Ac 0.000 0.000 0.233
Ac 0.000 0.000 0.767
Dy 0.500 0.500 0.500
Bi 0.500 0.500 0.000


This record from Alexandria describes Ac2DyBi after structural relaxation. The functional is GGA-PBE.

Summary:
total magnetic moment: 0.001 μB/atom
formation enthalpy at 0 K: 9.1 kJ per mole of atoms
crystal system: trigonal
offset from the most stable computed form: 425 meV per atom

Lattice parameters (Å, degrees): 13.022 13.022 13.022 16.38 16.38 16.38
Positions (direct):
Ac 0.091 0.091 0.091
Ac 0.909 0.909 0.909
Dy 0.000 0.000 0.000
Bi 0.500 0.500 0.500


This record from Alexandria describes Ac3DyBi4 after structural relaxation. The functional is GGA-PBE.

Summary:
total magnetic moment: 0.000 μB/atom
formation enthalpy at 0 K: -90.7 kJ per mole of atoms
crystal system: orthorhombic

Lattice parameters (Å, degrees): 8.283 8.283 4.791 90.00 90.00 109.44
Positions (direct):
Ac 0.000 0.000 0.000
Ac 0.000 0.500 0.500
Ac 0.500 0.000 0.500
Dy 0.500 0.500 0.000
Bi 0.258 0.742 0.000
Bi 0.265 0.265 0.500
Bi 0.735 0.735 0.500
Bi 0.742 0.258 0.000


This record from Alexandria describes AcDyBi after structural relaxation. The functional is GGA-PBE.

Summary:
total magnetic moment: 0.000 μB/atom
formation enthalpy at 0 K: -60.5 kJ per mole of atoms
crystal system: tetragonal
offset from the most stable computed form: 0 meV per atom

Lattice parameters (Å, degrees): 4.781 4.781 9.238 90.00 90.00 90.00
Positions (direct):
Ac 0.250 0.250 0.151
Ac 0.750 0.750 0.849
Dy 0.250 0.750 0.500
Dy 0.750 0.250 0.500
Bi 0.250 0.250 0.760
Bi 0.750 0.750 0.240


This record from Alexandria describes Ac4DyEr3Bi8 after structural relaxation. The functional is GGA-PBE.

Summary:
total magnetic moment: 0.000 μB/atom
formation enthalpy at 0 K: -86.4 kJ per mole of atoms
crystal system: trigonal

Lattice parameters (Å, degrees): 9.327 9.327 9.327 60.15 60.15 60.15
Positions (direct):
Ac 0.000 0.000 0.000
Ac 0.000 0.500 0.500
Ac 0.500 0.000 0.500
Ac 0.500 0.500 0.000
Dy 0.500 0.500 0.500
Er 0.000 0.000 0.500
Er 0.000 0.500 0.000
Er 0.500 0.000 0.000
Bi 0.241 0.742 0.742
Bi 0.242 0.242 0.242
Bi 0.258 0.258 0.759
Bi 0.258 0.759 0.258
Bi 0.742 0.241 0.742
Bi 0.742 0.742 0.241
Bi 0.758 0.758 0.758
Bi 0.759 0.258 0.258


This record from Alexandria describes AcDyEr2Bi4 after structural relaxation. The functional is GGA-PBE.

Summary:
total magnetic moment: 0.000 μB/atom
formation enthalpy at 0 K: -81.2 kJ per mole of atoms
crystal system: monoclinic

Lattice parameters (Å, degrees): 7.907 4.574 7.914 90.00 109.45 90.00
Positions (direct):
Ac 0.000 0.000 0.000
Dy 0.000 0.500 0.500
Er 0.500 0.000 0.500
Er 0.500 0.500 0.000
Bi 0.260 0.000 0.743
Bi 0.268 0.500 0.266
Bi 0.732 0.500 0.734
Bi 0.740 0.000 0.257


This record from Alexandria describes AcDyHo2Bi4 after structural relaxation. The functional is GGA-PBE.

Summary:
total magnetic moment: 0.000 μB/atom
formation enthalpy at 0 K: -82.4 kJ per mole of atoms
crystal system: monoclinic

Lattice parameters (Å, degrees): 7.921 4.581 7.925 90.00 109.44 90.00
Positions (direct):
Ac 0.000 0.000 0.000
Dy 0.000 0.500 0.500
Ho 0.500 0.000 0.500
Ho 0.500 0.500 0.000
Bi 0.259 0.000 0.743
Bi 0.267 0.500 0.266
Bi 0.733 0.500 0.734
Bi 0.741 0.000 0.257


This record from Alexandria describes Ac4Dy3HoBi8 after structural relaxation. The functional is GGA-PBE.

Summary:
total magnetic moment: 0.000 μB/atom
formation enthalpy at 0 K: -87.9 kJ per mole of atoms
crystal system: trigonal

Lattice parameters (Å, degrees): 9.347 9.347 9.347 60.10 60.10 60.10
Positions (direct):
Ac 0.000 0.000 0.000
Ac 0.000 0.500 0.500
Ac 0.500 0.000 0.500
Ac 0.500 0.500 0.000
Dy 0.000 0.000 0.500
Dy 0.000 0.500 0.000
Dy 0.500 0.000 0.000
Ho 0.500 0.500 0.500
Bi 0.242 0.242 0.242
Bi 0.243 0.742 0.742
Bi 0.258 0.258 0.757
Bi 0.258 0.757 0.258
Bi 0.742 0.243 0.742
Bi 0.742 0.742 0.243
Bi 0.757 0.258 0.258
Bi 0.758 0.758 0.758


This record from Alexandria describes AcDyBiI after structural relaxation. The functional is GGA-PBE.

Summary:
total magnetic moment: 0.000 μB/atom
crystal system: cubic
formation energy without anion corrections: -3.1 eV/f.u.

Lattice parameters (Å, degrees): 5.662 5.662 5.662 60.00 60.00 60.00
Positions (direct):
Ac 0.000 0.000 0.000
Dy 0.500 0.500 0.500
Bi 0.750 0.750 0.750
I 0.250 0.250 0.250


This record from Alexandria describes AcLaDy2Bi4 after structural relaxation. The functional is GGA-PBE.

Summary:
total magnetic moment: 0.000 μB/atom
formation enthalpy at 0 K: -89.8 kJ per mole of atoms
crystal system: monoclinic

Lattice parameters (Å, degrees): 8.017 4.645 8.041 90.00 109.52 90.00
Positions (direct):
Ac 0.000 0.000 0.000
La 0.000 0.500 0.500
Dy 0.500 0.000 0.500
Dy 0.500 0.500 0.000
Bi 0.266 0.000 0.751
Bi 0.270 0.500 0.261
Bi 0.730 0.500 0.739
Bi 0.734 0.000 0.249


This record from Alexandria describes AcNd2DyBi4 after structural relaxation. The functional is GGA-PBE.

Summary:
total magnetic moment: 0.000 μB/atom
formation enthalpy at 0 K: -88.2 kJ per mole of atoms
crystal system: monoclinic

Lattice parameters (Å, degrees): 8.048 4.653 8.058 90.00 109.42 90.00
Positions (direct):
Ac 0.000 0.000 0.000
Nd 0.000 0.500 0.500
Nd 0.500 0.000 0.500
Dy 0.500 0.500 0.000
Bi 0.261 0.000 0.751
Bi 0.263 0.500 0.257
Bi 0.737 0.500 0.743
Bi 0.739 0.000 0.249


This record from Alexandria describes Ac2NdDyBi4 after structural relaxation. The functional is GGA-PBE.

Summary:
total magnetic moment: 0.000 μB/atom
formation enthalpy at 0 K: -90.5 kJ per mole of atoms
crystal system: monoclinic

Lattice parameters (Å, degrees): 8.163 4.717 8.163 90.00 109.47 90.00
Positions (direct):
Ac 0.000 0.000 0.000
Ac 0.500 0.500 0.000
Nd 0.000 0.500 0.500
Dy 0.500 0.000 0.500
Bi 0.248 0.000 0.733
Bi 0.261 0.500 0.270
Bi 0.739 0.500 0.730
Bi 0.752 0.000 0.267


This record from Alexandria describes AcDyBiO6 after structural relaxation. The functional is GGA-PBE.

Summary:
total magnetic moment: 0.119 μB/atom
crystal system: trigonal
formation energy without anion corrections: -19.4 eV/f.u.

Lattice parameters (Å, degrees): 5.845 5.845 5.233 90.00 90.00 120.00
Positions (direct):
Ac 0.000 0.000 0.000
Dy 0.333 0.667 0.500
Bi 0.667 0.333 0.500
O 0.365 0.018 0.723
O 0.365 0.347 0.277
O 0.653 0.018 0.277
O 0.653 0.635 0.723
O 0.982 0.347 0.723
O 0.982 0.635 0.277


This record from Alexandria describes AcDyBi2O6 after structural relaxation. The functional is GGA-PBE.

Summary:
total magnetic moment: 0.000 μB/atom
crystal system: triclinic
formation energy without anion corrections: -23.1 eV/f.u.

Lattice parameters (Å, degrees): 6.207 6.211 6.262 90.06 119.68 119.95
Positions (direct):
Ac 0.000 0.000 0.000
Dy 0.023 0.512 0.534
Bi 0.444 0.222 0.666
Bi 0.449 0.725 0.174
O 0.220 0.824 0.369
O 0.253 0.891 0.863
O 0.502 0.610 0.862
O 0.546 0.395 0.370
O 0.972 0.361 0.863
O 0.975 0.150 0.370


This record from Alexandria describes AcDyBiPd after structural relaxation. The functional is GGA-PBE.

Summary:
total magnetic moment: 0.196 μB/atom
formation enthalpy at 0 K: -56.0 kJ per mole of atoms
crystal system: cubic

Lattice parameters (Å, degrees): 5.471 5.471 5.471 60.00 60.00 60.00
Positions (direct):
Ac 0.000 0.000 0.000
Dy 0.500 0.500 0.500
Bi 0.750 0.750 0.750
Pd 0.250 0.250 0.250


This record from Alexandria describes AcPm2DyBi4 after structural relaxation. The functional is GGA-PBE.

Summary:
total magnetic moment: 0.000 μB/atom
formation enthalpy at 0 K: -87.7 kJ per mole of atoms
crystal system: monoclinic

Lattice parameters (Å, degrees): 8.021 4.637 8.032 90.00 109.41 90.00
Positions (direct):
Ac 0.000 0.000 0.000
Pm 0.000 0.500 0.500
Pm 0.500 0.000 0.500
Dy 0.500 0.500 0.000
Bi 0.260 0.000 0.749
Bi 0.263 0.500 0.259
Bi 0.737 0.500 0.741
Bi 0.740 0.000 0.251


This record from Alexandria describes AcPmDy2Bi4 after structural relaxation. The functional is GGA-PBE.

Summary:
total magnetic moment: 0.000 μB/atom
formation enthalpy at 0 K: -86.4 kJ per mole of atoms
crystal system: monoclinic

Lattice parameters (Å, degrees): 7.970 4.612 7.986 90.00 109.47 90.00
Positions (direct):
Ac 0.000 0.000 0.000
Pm 0.000 0.500 0.500
Dy 0.500 0.000 0.500
Dy 0.500 0.500 0.000
Bi 0.262 0.000 0.747
Bi 0.268 0.500 0.263
Bi 0.732 0.500 0.737
Bi 0.738 0.000 0.253


This record from Alexandria describes Ac2PrDyBi4 after structural relaxation. The functional is GGA-PBE.

Summary:
total magnetic moment: 0.000 μB/atom
formation enthalpy at 0 K: -90.7 kJ per mole of atoms
crystal system: monoclinic

Lattice parameters (Å, degrees): 8.177 4.725 8.177 90.00 109.47 90.00
Positions (direct):
Ac 0.000 0.000 0.000
Ac 0.500 0.500 0.000
Pr 0.000 0.500 0.500
Dy 0.500 0.000 0.500
Bi 0.249 0.000 0.734
Bi 0.261 0.500 0.269
Bi 0.739 0.500 0.731
Bi 0.751 0.000 0.266


This record from Alexandria describes AcDyBi2S6 after structural relaxation. The functional is GGA-PBE.

Summary:
total magnetic moment: 0.000 μB/atom
crystal system: trigonal
formation energy without anion corrections: -12.1 eV/f.u.

Lattice parameters (Å, degrees): 7.577 7.577 7.577 56.80 56.80 56.80
Positions (direct):
Ac 0.000 0.000 0.000
Dy 0.491 0.491 0.491
Bi 0.288 0.288 0.288
Bi 0.794 0.794 0.794
S 0.096 0.666 0.416
S 0.201 0.588 0.881
S 0.416 0.096 0.666
S 0.588 0.881 0.201
S 0.666 0.416 0.096
S 0.881 0.201 0.588